No. 1
Below is a relaxed structure of TbPm6Ho5, with properties calculated at the PBE-GGA level.

a = 9.495 Å, b = 9.495 Å, c = 9.495 Å
α = 148.90°, β = 115.77°, γ = 73.09°
Fractional coordinates of all 12 atoms:
Tb (0.000, 0.000, 0.000)
Pm (0.084, 0.833, 0.250)
Pm (0.251, 0.500, 0.751)
Pm (0.417, 0.167, 0.250)
Pm (0.583, 0.833, 0.750)
Pm (0.749, 0.500, 0.249)
Pm (0.916, 0.167, 0.750)
Ho (0.167, 0.667, 0.500)
Ho (0.333, 0.333, 0.000)
Ho (0.500, 0.000, 0.500)
Ho (0.667, 0.667, 0.000)
Ho (0.833, 0.333, 0.500)

## Properties
E_form (meV/atom): 16
Space-group type: Immm (71)
Calculated volume (Å³/f.u.): 392.1

No. 2
Below is a relaxed structure of BaYIO2, with properties calculated at the PBE-GGA level.

a = 4.778 Å, b = 4.778 Å, c = 6.337 Å
α = 90.00°, β = 90.00°, γ = 90.00°
Fractional coordinates of all 5 atoms:
Ba (0.000, 0.000, 0.000)
Y (0.500, 0.500, 0.500)
I (0.000, 0.000, 0.500)
O (0.000, 0.500, 0.000)
O (0.500, 0.000, 0.000)

## Properties
E_form (uncorrected) (eV per atom): -0.669
Space-group type: P4/mmm (123)
Calculated volume (Å³/f.u.): 144.7

No. 3
Below is a relaxed structure of TeIrS, with properties calculated at the PBE-GGA level.

a = 5.436 Å, b = 3.631 Å, c = 6.622 Å
α = 90.00°, β = 93.35°, γ = 90.00°
Fractional coordinates of all 6 atoms:
Te (0.208, 0.000, 0.312)
Te (0.792, 0.000, 0.688)
Ir (0.500, 0.000, 0.000)
Ir (0.500, 0.500, 0.500)
S (0.307, 0.500, 0.814)
S (0.693, 0.500, 0.186)

## Properties
E_form (uncorrected) (eV per atom): -0.241
Space-group type: P2/m (10)
Calculated volume (Å³/f.u.): 65.2

No. 4
Below is a relaxed structure of LiCeBr6, with properties calculated at the PBE-GGA level.

a = 7.548 Å, b = 10.508 Å, c = 7.107 Å
α = 90.00°, β = 92.25°, γ = 90.00°
Fractional coordinates of all 16 atoms:
Li (0.000, 0.000, 0.000)
Li (0.500, 0.500, 0.000)
Ce (0.000, 0.000, 0.500)
Ce (0.500, 0.500, 0.500)
Br (0.159, 0.169, 0.760)
Br (0.159, 0.831, 0.760)
Br (0.213, 0.500, 0.743)
Br (0.287, 0.000, 0.257)
Br (0.341, 0.331, 0.240)
Br (0.341, 0.669, 0.240)
Br (0.659, 0.331, 0.760)
Br (0.659, 0.669, 0.760)
Br (0.713, 0.000, 0.743)
Br (0.787, 0.500, 0.257)
Br (0.841, 0.169, 0.240)
Br (0.841, 0.831, 0.240)

## Properties
E_form (uncorrected) (eV per atom): -1.239
Space-group type: C2/m (12)
Calculated volume (Å³/f.u.): 281.6

No. 5
Below is a relaxed structure of Cs2YTlF6, with properties calculated at the PBE-GGA level.

a = 6.932 Å, b = 6.932 Å, c = 6.932 Å
α = 60.00°, β = 60.00°, γ = 60.00°
Fractional coordinates of all 10 atoms:
Cs (0.250, 0.250, 0.250)
Cs (0.750, 0.750, 0.750)
Y (0.000, 0.000, 0.000)
Tl (0.500, 0.500, 0.500)
F (0.224, 0.224, 0.776)
F (0.224, 0.776, 0.224)
F (0.224, 0.776, 0.776)
F (0.776, 0.224, 0.224)
F (0.776, 0.224, 0.776)
F (0.776, 0.776, 0.224)

## Properties
E_form (uncorrected) (eV per atom): -3.121
Space-group type: Fm-3m (225)
Calculated volume (Å³/f.u.): 235.5

No. 6
Below is a relaxed structure of Be2In2Ge, with properties calculated at the PBE-GGA level.

a = 4.100 Å, b = 4.100 Å, c = 11.118 Å
α = 90.00°, β = 90.00°, γ = 90.00°
Fractional coordinates of all 10 atoms:
Be (0.000, 0.000, 0.094)
Be (0.000, 0.000, 0.906)
Be (0.500, 0.500, 0.406)
Be (0.500, 0.500, 0.594)
In (0.000, 0.500, 0.250)
In (0.000, 0.500, 0.750)
In (0.500, 0.000, 0.250)
In (0.500, 0.000, 0.750)
Ge (0.000, 0.000, 0.500)
Ge (0.500, 0.500, 0.000)

## Properties
E_form (meV/atom): 570
Space-group type: I4/mmm (139)
Calculated volume (Å³/f.u.): 93.4

No. 7
Below is a relaxed structure of DyPu2AgTe5, with properties calculated at the PBE-GGA level.

a = 9.615 Å, b = 9.615 Å, c = 13.185 Å
α = 90.00°, β = 90.00°, γ = 153.95°
Fractional coordinates of all 18 atoms:
Dy (0.195, 0.805, 0.500)
Dy (0.805, 0.195, 0.000)
Pu (0.114, 0.886, 0.173)
Pu (0.122, 0.878, 0.799)
Pu (0.878, 0.122, 0.299)
Pu (0.886, 0.114, 0.673)
Ag (0.431, 0.569, 0.946)
Ag (0.569, 0.431, 0.446)
Te (0.041, 0.959, 0.567)
Te (0.290, 0.710, 0.163)
Te (0.304, 0.696, 0.830)
Te (0.360, 0.640, 0.491)
Te (0.499, 0.501, 0.263)
Te (0.501, 0.499, 0.763)
Te (0.640, 0.360, 0.991)
Te (0.696, 0.304, 0.330)
Te (0.710, 0.290, 0.663)
Te (0.959, 0.041, 0.067)

## Properties
E_form (uncorrected) (eV per atom): -0.922
Space-group type: Cmc2_1 (36)
Calculated volume (Å³/f.u.): 267.6

No. 8
Below is a relaxed structure of Ga3SiF, with properties calculated at the PBE-GGA level.

a = 4.587 Å, b = 4.587 Å, c = 4.587 Å
α = 90.00°, β = 90.00°, γ = 90.00°
Fractional coordinates of all 5 atoms:
Ga (0.000, 0.000, 0.500)
Ga (0.000, 0.500, 0.000)
Ga (0.500, 0.000, 0.000)
Si (0.500, 0.500, 0.500)
F (0.000, 0.000, 0.000)

## Properties
E_form (uncorrected) (eV per atom): -0.127
Space-group type: Pm-3m (221)
Calculated volume (Å³/f.u.): 96.5

No. 9
Below is a relaxed structure of BaTa2Br, with properties calculated at the PBE-GGA level.

a = 5.808 Å, b = 11.602 Å, c = 3.148 Å
α = 90.00°, β = 90.00°, γ = 90.00°
Fractional coordinates of all 8 atoms:
Ba (0.000, 0.000, 0.000)
Ba (0.500, 0.500, 0.000)
Ta (0.250, 0.250, 0.500)
Ta (0.250, 0.750, 0.500)
Ta (0.750, 0.250, 0.500)
Ta (0.750, 0.750, 0.500)
Br (0.000, 0.500, 0.000)
Br (0.500, 0.000, 0.000)

## Properties
E_form (uncorrected) (eV per atom): 1.158
Space-group type: Cmmm (65)
Calculated volume (Å³/f.u.): 106.0

No. 10
Below is a relaxed structure of KHg2Au, with properties calculated at the PBE-GGA level.

a = 18.004 Å, b = 7.997 Å, c = 6.247 Å
α = 90.00°, β = 90.00°, γ = 90.00°
Fractional coordinates of all 32 atoms:
K (0.104, 0.250, 0.223)
K (0.144, 0.750, 0.470)
K (0.356, 0.250, 0.970)
K (0.396, 0.750, 0.723)
K (0.604, 0.250, 0.277)
K (0.644, 0.750, 0.030)
K (0.856, 0.250, 0.530)
K (0.896, 0.750, 0.777)
Hg (0.033, 0.056, 0.727)
Hg (0.033, 0.444, 0.727)
Hg (0.214, 0.551, 0.960)
Hg (0.214, 0.949, 0.960)
Hg (0.286, 0.051, 0.460)
Hg (0.286, 0.449, 0.460)
Hg (0.467, 0.556, 0.227)
Hg (0.467, 0.944, 0.227)
Hg (0.533, 0.056, 0.773)
Hg (0.533, 0.444, 0.773)
Hg (0.714, 0.551, 0.540)
Hg (0.714, 0.949, 0.540)
Hg (0.786, 0.051, 0.040)
Hg (0.786, 0.449, 0.040)
Hg (0.967, 0.556, 0.273)
Hg (0.967, 0.944, 0.273)
Au (0.071, 0.750, 0.980)
Au (0.177, 0.250, 0.712)
Au (0.323, 0.750, 0.212)
Au (0.429, 0.250, 0.480)
Au (0.571, 0.750, 0.520)
Au (0.677, 0.250, 0.788)
Au (0.823, 0.750, 0.288)
Au (0.929, 0.250, 0.020)

## Properties
E_form (meV/atom): -248
Space-group type: Pnma (62)
Calculated volume (Å³/f.u.): 112.4

No. 11
Below is a relaxed structure of Ta2Sn2B, with properties calculated at the PBE-GGA level.

a = 3.830 Å, b = 3.830 Å, c = 14.515 Å
α = 90.00°, β = 90.00°, γ = 90.00°
Fractional coordinates of all 10 atoms:
Ta (0.000, 0.500, 0.250)
Ta (0.000, 0.500, 0.750)
Ta (0.500, 0.000, 0.250)
Ta (0.500, 0.000, 0.750)
Sn (0.000, 0.000, 0.095)
Sn (0.000, 0.000, 0.905)
Sn (0.500, 0.500, 0.405)
Sn (0.500, 0.500, 0.595)
B (0.000, 0.000, 0.500)
B (0.500, 0.500, 0.000)

## Properties
E_form (meV/atom): 1149
Space-group type: I4/mmm (139)
Calculated volume (Å³/f.u.): 106.5

No. 12
Below is a relaxed structure of Dy7Te2Au2, with properties calculated at the PBE-GGA level.

a = 6.666 Å, b = 6.666 Å, c = 7.642 Å
α = 90.04°, β = 90.04°, γ = 73.87°
Fractional coordinates of all 11 atoms:
Dy (0.000, 0.000, 0.000)
Dy (0.000, 0.499, 0.287)
Dy (0.000, 0.501, 0.713)
Dy (0.499, 0.000, 0.287)
Dy (0.500, 0.500, 0.277)
Dy (0.500, 0.500, 0.723)
Dy (0.501, 0.000, 0.713)
Te (0.284, 0.284, 0.000)
Te (0.716, 0.716, 0.000)
Au (0.196, 0.804, 0.500)
Au (0.804, 0.196, 0.500)

## Properties
E_form (uncorrected) (eV per atom): -0.443
Space-group type: C2/m (12)
Calculated volume (Å³/f.u.): 326.2

no.,Fermi-level density of states (states/eV/f.u.),theoretical density (Mg/m³)
1,15.548,7.9
2,4.868,4.4
3,1.848,9.0
4,7.624,3.7
5,0.000,4.7
6,1.893,5.7
7,22.389,8.7
8,3.630,4.4
9,5.102,9.1
10,1.237,9.4
11,3.289,9.5
12,12.790,9.1